# MnCrTcGe

Crystalline MnCrTcGe at its relaxed geometry (PBE, Alexandria via LeMat-Bulk).

a b c (Å): 4.4107 2.8474 4.4708
angles (deg): 90.00 106.70 90.00
Each line ends with the local moment (μB).
Atoms (fractional coordinates):
Cr1 0.8243 0.0000 0.7118  1.51
Ge1 0.8242 0.5000 0.2118  -0.08
Mn1 0.3243 0.0000 0.2121  2.47
Tc1 0.3244 0.5000 0.7120  -0.32

Crystal system: monoclinic
Space group: P2/m (10)
DFT total energy in eV per atom: -8.374
Calculated density in g/cm³: 8.57
Total magnetization in μB per cell: 3.7